# NaMnBr, optimized geometry, DFT PBE
data_NaMnBr
_cell_length_a 3.454
_cell_length_b 4.251
_cell_length_c 9.270
_cell_angle_alpha 82.79
_cell_angle_beta 89.86
_cell_angle_gamma 89.95
_symmetry_space_group_name_H-M 'P -1'
_symmetry_Int_Tables_number 2
loop_
_symmetry_equiv_pos_as_xyz
'x,y,z'
'-x,-y,-z'
loop_
_atom_site_label
_atom_site_fract_x
_atom_site_fract_y
_atom_site_fract_z
Na1 0.249 0.324 0.248
Mn1 0.249 0.110 0.954
Br1 0.251 0.202 0.678
# - Calculated density: 3882 kg/m³
# - E_form (uncorrected): -0.3 eV per formula unit
# - E: -0.1529 hartree per atom

# Na2MnBr4, optimized geometry, DFT PBE
data_Na2MnBr4
_cell_length_a 5.361
_cell_length_b 5.361
_cell_length_c 14.900
_cell_angle_alpha 90.00
_cell_angle_beta 90.00
_cell_angle_gamma 90.00
_symmetry_space_group_name_H-M 'I 4/m m m'
_symmetry_Int_Tables_number 139
_symmetry_space_group_name_Hall '-I 4 2'
loop_
_atom_site_label
_atom_site_fract_x
_atom_site_fract_y
_atom_site_fract_z
Na1 0.000 0.000 0.134
Mn1 0.000 0.000 0.500
Br1 0.000 0.000 0.325
Br2 0.000 0.500 0.000
# - Calculated density: 3261 kg/m³
# - E_form (uncorrected): -7.8 eV per formula unit
# - E: -0.1379 hartree per atom

# Na2MnBr4, optimized geometry, DFT PBE
data_Na2MnBr4
_cell_length_a 14.582
_cell_length_b 4.140
_cell_length_c 7.493
_cell_angle_alpha 90.00
_cell_angle_beta 118.85
_cell_angle_gamma 90.00
_symmetry_space_group_name_H-M 'C 1 2/m 1'
_symmetry_Int_Tables_number 12
loop_
_symmetry_equiv_pos_as_xyz
'x,y,z'
'-x,-y,-z'
'-x,y,-z'
'x,-y,z'
'x+1/2,y+1/2,z'
'-x+1/2,-y+1/2,-z'
'-x+1/2,y+1/2,-z'
'x+1/2,-y+1/2,z'
loop_
_atom_site_label
_atom_site_fract_x
_atom_site_fract_y
_atom_site_fract_z
Na1 0.212 0.000 0.195
Mn1 0.000 0.500 0.500
Br1 0.107 0.500 0.894
Br2 0.128 0.000 0.491
# - Calculated density: 3525 kg/m³
# - E_form (uncorrected): -8.3 eV per formula unit
# - E: -0.1407 hartree per atom

calculated density of number 3 (Na2MnBr4)?
3525 kg/m³